A plane-wave DFT calculation with PBE with a Hubbard U was carried out for crystalline CaMnPdO2 at its relaxed geometry.

Output
E_tot: -26.62 eV per cell
total magnetization: 0.68 μB per atom
SG: No. 123

Cell lengths 3.797, 3.797, 6.326 Å; angles 90.00, 90.00, 90.00 degrees
Fractional coordinates of all 5 atoms:
1 Ca 0.000 0.000 0.000
2 Mn 0.000 0.000 0.500
3 Pd 0.500 0.500 0.000
4 O 0.000 0.500 0.500
5 O 0.500 0.000 0.500